Record 1
A plane-wave DFT calculation with GGA-PBE was carried out for a geometry-optimized CsTc4Se7 structure.

The total energy is -5.757 eV per atom. As for the total magnetization: 0.00 μB per cell.

The structure belongs to space group Pmmn (No. 59, origin choice 2); the cell edges are 4.7611, 15.6371 and 8.1216 Å and the angles 90.00°, 90.00° and 90.00°. Symmetry generates all atoms from Cs at (0.2500, 0.2500, 0.2142), Tc at (0.2500, 0.0026, 0.7770), Tc at (0.2500, 0.6151, 0.2607), Se at (0.2500, 0.0189, 0.1099), Se at (0.2500, 0.1336, 0.6324), Se at (0.2500, 0.6015, 0.5728) and Se at (0.2500, 0.7500, 0.1207).


Record 2
A plane-wave DFT calculation with GGA-PBE was carried out for a geometry-optimized CsTcSe3 structure.

The excess energy over the best structure of this formula in the dataset is 1358.5 kJ/mol of formula units. The total energy is -2.107 eV per atom. As for the total magnetization: 0.00 μB per cell.

The structure belongs to space group Pm-3m (No. 221); the cell edges are 5.6647, 5.6647 and 5.6647 Å and the angles 90.00°, 90.00° and 90.00°. Symmetry generates all atoms from Cs at (0.0000, 0.0000, 0.0000), Tc at (0.5000, 0.5000, 0.5000) and Se at (0.0000, 0.0000, 0.5000).


Record 3
A plane-wave DFT calculation with GGA-PBE was carried out for a geometry-optimized CsTcSe3 structure.

The excess energy over the best structure of this formula in the dataset is 0.0 kJ/mol of formula units. The total energy is -4.923 eV per atom. As for the total magnetization: 0.00 μB per cell.

The structure belongs to space group P2_1/c (No. 14); the cell edges are 8.0743, 6.4158 and 15.6382 Å and the angles 90.00°, 119.34° and 90.00°. Symmetry generates all atoms from Cs at (0.1161, 0.2473, 0.1487), Tc at (0.4224, 0.2030, 0.4771), Se at (0.0900, 0.2386, 0.3889), Se at (0.3941, 0.5547, 0.5585) and Se at (0.4483, 0.5552, 0.8660).